Here is a geometry-optimized GePd2Pt structure from Alexandria. Energies are from PBE-GGA.

Lattice parameters (Å, degrees): 3.767 3.767 18.746 90.00 90.00 90.00
Space group I-42d (No. 122)
One atom of each set of equivalent atoms:
Ge 0.000 0.000 0.000
Pd 0.247 0.250 0.125
Pt 0.000 0.000 0.500

V = 16.63 A^3/atom
ΔH_f (0 K) = -0.115 eV/atom
theoretical density = 12.0 Mg/m³
total magnetic moment = 0.0 μB per formula unit
total DFT energy (no corrections) = -21.5 eV per formula unit
crystal system = tetragonal



Here is a geometry-optimized Ge2PdPt3 structure from Alexandria. Energies are from PBE-GGA.

Lattice parameters (Å, degrees): 5.473 12.896 5.473 90.00 90.00 90.00
Space group Ibam (No. 72)
One atom of each set of equivalent atoms:
Ge 0.249 0.132 0.000
Pd 0.000 0.500 0.250
Pt 0.000 0.000 0.250
Pt 0.244 0.319 0.000

V = 16.10 A^3/atom
ΔH_f (0 K) = -0.362 eV/atom
theoretical density = 14.4 Mg/m³
total magnetic moment = 0.0 μB per formula unit
total DFT energy (no corrections) = -34.7 eV per formula unit
energy above the lowest structure with this stoichiometry = 0.070 eV/atom
crystal system = orthorhombic



Here is a geometry-optimized Ge2Pd3Pt structure from Alexandria. Energies are from PBE-GGA.

Lattice parameters (Å, degrees): 5.470 12.925 5.464 90.00 90.00 90.00
Space group Ibam (No. 72)
One atom of each set of equivalent atoms:
Ge 0.247 0.130 0.000
Pd 0.000 0.500 0.250
Pd 0.244 0.318 0.000
Pt 0.000 0.000 0.250

V = 16.10 A^3/atom
ΔH_f (0 K) = -0.477 eV/atom
theoretical density = 11.3 Mg/m³
total magnetic moment = 0.0 μB per formula unit
total DFT energy (no corrections) = -33.7 eV per formula unit
energy above the lowest structure with this stoichiometry = 0.000 eV/atom
crystal system = orthorhombic



- Which of these has the highest total DFT energy (no corrections)?
  GePd2Pt